Entry 1:
An optimized crystal structure of Ti2ZnAgI, computed with PBE.

abc: 5.1449 5.1449 4.8121
angles: 90.00 90.00 90.00
Closest atoms and distances in Å follow each position.
Space group P4/mmm (No. 123)
One atom of each set of equivalent atoms:
Ti 0.0000 0.5000 0.0000 x2  2 Ag 2.57
Zn 0.0000 0.0000 0.5000 x1  2 Ag 2.41
Ag 0.0000 0.0000 0.0000 x1  2 Zn 2.41, 4 Ti 2.57
I 0.5000 0.5000 0.5000 x1  8 Ti 3.52, 4 Zn 3.64

- N(E_F) (states/eV/f.u.) = 4.974
- M_tot (μB per formula unit) = 3.11
- energy relative to the elements, uncorrected (eV per atom) = 0.7239


Entry 2:
An optimized crystal structure of TlAg5I8, computed with PBE.

abc: 12.6204 12.6204 12.6204
angles: 90.00 90.00 90.00
Closest atoms and distances in Å follow each position.
Space group F-43m (No. 216)
One atom of each set of equivalent atoms:
Tl 0.0000 0.0000 0.0000 x4  4 I 2.99
Ag 0.1199 0.1199 0.3801 x16  6 I 3.02-3.08
Ag 0.2500 0.2500 0.7500 x4  4 I 2.86
I 0.1190 0.1190 0.6190 x16  4 Ag 2.86-3.02
I 0.1369 0.1369 0.1369 x16  1 Tl 2.99, 3 Ag 3.08

- N(E_F) (states/eV/f.u.) = 10.438
- M_tot (μB per formula unit) = 0.00
- energy relative to the elements, uncorrected (eV per atom) = -0.2008


Entry 3:
An optimized crystal structure of Tl5AgI6, computed with PBE.

abc: 8.5488 14.5339 8.5093
angles: 90.00 109.70 90.00
Closest atoms and distances in Å follow each position.
Space group C2/m (No. 12)
One atom of each set of equivalent atoms:
Tl 0.0000 0.0000 0.0000 x2  6 I 3.49-3.62
Tl 0.0000 0.1632 0.5000 x4  6 I 3.49-3.52
Tl 0.0000 0.3260 0.0000 x4  6 I 3.44-3.74
Ag 0.0000 0.5000 0.5000 x2  6 I 3.08-3.36
I 0.2213 0.3504 0.7234 x8  1 Ag 3.08
I 0.2278 0.5000 0.2466 x4  1 Ag 3.36, 5 Tl 3.44-3.62

- N(E_F) (states/eV/f.u.) = 0.000
- M_tot (μB per formula unit) = 0.00
- energy relative to the elements, uncorrected (eV per atom) = -0.5650


Entry 4:
An optimized crystal structure of TlAg3I4, computed with PBE.

abc: 6.6114 6.6114 6.6114
angles: 90.00 90.00 90.00
Closest atoms and distances in Å follow each position.
Space group P-43m (No. 215)
One atom of each set of equivalent atoms:
Tl 0.0000 0.0000 0.0000 x1  4 I 3.22, 6 Ag 3.31
Ag 0.0000 0.0000 0.5000 x3  4 I 3.00, 2 Tl 3.31
I 0.2812 0.2812 0.2812 x4  3 Ag 3.00, 1 Tl 3.22

- E above lowest polymorph (eV/atom) = 0.106
- N(E_F) (states/eV/f.u.) = 0.000
- M_tot (μB per formula unit) = 0.00
- energy relative to the elements, uncorrected (eV per atom) = -0.2275


Entry 5:
An optimized crystal structure of Tl5Ag3I12, computed with PBE.

abc: 19.5694 19.5694 19.5694
angles: 90.00 90.00 90.00
Closest atoms and distances in Å follow each position.
Space group Ia-3d (No. 230)
One atom of each set of equivalent atoms:
Tl 0.0000 0.0000 0.0000 x16  6 I 3.10
Tl 0.0000 0.2500 0.3750 x24  4 I 3.53
Ag 0.0000 0.2500 0.1250 x24  4 I 2.82
I 0.0236 0.0339 0.3469 x96  1 Ag 2.82, 1 Tl 3.10

- N(E_F) (states/eV/f.u.) = 5.116
- M_tot (μB per formula unit) = 0.00
- energy relative to the elements, uncorrected (eV per atom) = -0.3277


Entry 6:
An optimized crystal structure of Tl2Ag3I5, computed with PBE.

abc: 15.4870 4.6462 11.4913
angles: 90.00 118.22 90.00
Closest atoms and distances in Å follow each position.
Space group C2/m (No. 12)
One atom of each set of equivalent atoms:
Tl 0.1675 0.0000 0.2520 x4  7 I 3.55-3.66
Ag 0.0000 0.0000 0.5000 x2  6 I 3.11-3.14
Ag 0.0742 0.5000 0.8153 x4  4 I 2.83-2.94
I 0.0000 0.5000 0.0000 x2  2 Ag 2.85
I 0.1082 0.5000 0.4369 x4  3 Ag 2.94-3.14
I 0.1687 0.0000 0.7897 x4  3 Ag 2.83-3.11

- N(E_F) (states/eV/f.u.) = 0.000
- M_tot (μB per formula unit) = 0.00
- energy relative to the elements, uncorrected (eV per atom) = -0.3792


Entry 7:
An optimized crystal structure of Tl6AgI8, computed with PBE.

abc: 10.3491 10.3491 20.0847
angles: 90.00 90.00 120.00
Closest atoms and distances in Å follow each position.
Space group R-3 (No. 148, hexagonal axes)
One atom of each set of equivalent atoms:
Tl 0.0168 0.6226 0.4226 x18  6 I 3.45-3.69
Ag 0.0000 0.0000 0.5000 x3  6 I 3.04
I 0.0000 0.0000 0.1659 x6  6 Tl 3.45-3.69
I 0.0064 0.7618 0.5858 x18  1 Ag 3.04

- N(E_F) (states/eV/f.u.) = 13.741
- M_tot (μB per formula unit) = 0.00
- energy relative to the elements, uncorrected (eV per atom) = -0.5093


Entry 8:
An optimized crystal structure of TlAg3I4, computed with PBE.

abc: 9.6912 8.3897 8.0878
angles: 90.00 90.00 90.00
Closest atoms and distances in Å follow each position.
Space group Pmn2_1 (No. 31)
One atom of each set of equivalent atoms:
Tl 0.0000 0.1629 0.0000 x2  4 I 3.39-3.47
Ag 0.0000 0.8154 0.5166 x2  4 I 2.86-2.88
Ag 0.2492 0.3365 0.5213 x4  4 I 2.87-2.89
I 0.0000 0.1540 0.5705 x2  3 Ag 2.87-2.89
I 0.0000 0.7866 0.1621 x2  3 Ag 2.88
I 0.2243 0.6468 0.6668 x4  3 Ag 2.86-2.88

- E above lowest polymorph (eV/atom) = 0.000
- N(E_F) (states/eV/f.u.) = 0.000
- M_tot (μB per formula unit) = 0.00
- energy relative to the elements, uncorrected (eV per atom) = -0.3336


Entry 9:
An optimized crystal structure of Tl2AgI3, computed with PBE.

abc: 10.0179 4.7899 19.7280
angles: 90.00 90.00 90.00
Closest atoms and distances in Å follow each position.
Space group Pnma (No. 62)
One atom of each set of equivalent atoms:
Tl 0.0771 0.2500 0.2160 x4  7 I 3.58-3.75
Tl 0.2475 0.2500 0.9654 x4  7 I 3.44-3.71
Ag 0.1316 0.2500 0.6380 x4  4 I 2.85-2.87
I 0.0073 0.2500 0.4008 x4  2 Ag 2.87
I 0.1142 0.7500 0.0711 x4  1 Ag 2.87
I 0.1891 0.2500 0.7796 x4  1 Ag 2.85

- E above lowest polymorph (eV/atom) = 0.000
- N(E_F) (states/eV/f.u.) = 0.000
- M_tot (μB per formula unit) = 0.00
- energy relative to the elements, uncorrected (eV per atom) = -0.5214


Entry 10:
An optimized crystal structure of Tl3Ag2I4, computed with PBE.

abc: 15.8159 11.4433 7.9399
angles: 90.00 102.66 90.00
Closest atoms and distances in Å follow each position.
Space group C2/c (No. 15)
One atom of each set of equivalent atoms:
Tl 0.0000 0.0951 0.2500 x4  6 I 3.40-3.79
Tl 0.1512 0.3745 0.6730 x8  2 Ag 3.31-3.43, 3 I 3.45-3.48
Ag 0.1934 0.1560 0.9750 x8  1 Ag 2.77, 3 I 2.90-3.03
I 0.0619 0.3223 0.0284 x8  1 Ag 2.92
I 0.1762 0.0771 0.6052 x8  2 Ag 2.90-3.03

- N(E_F) (states/eV/f.u.) = 1.984
- M_tot (μB per formula unit) = 0.00
- energy relative to the elements, uncorrected (eV per atom) = -0.3357


Entry 11:
An optimized crystal structure of Tl3AgI4, computed with PBE.

abc: 12.4510 10.9906 4.7812
angles: 90.00 90.00 90.00
Closest atoms and distances in Å follow each position.
Space group Pmn2_1 (No. 31)
One atom of each set of equivalent atoms:
Tl 0.0000 0.0596 0.0000 x2  6 I 3.43-3.66
Tl 0.1927 0.6354 0.5002 x4  3 I 3.26-3.39
Ag 0.0000 0.3348 0.4991 x2  4 I 2.85-2.92
I 0.0000 0.4868 0.9993 x2  2 Ag 2.92
I 0.0000 0.8357 0.4998 x2  4 Tl 3.26-3.43
I 0.1899 0.1904 0.4997 x4  1 Ag 2.85

- E above lowest polymorph (eV/atom) = 0.000
- N(E_F) (states/eV/f.u.) = 0.000
- M_tot (μB per formula unit) = 0.00
- energy relative to the elements, uncorrected (eV per atom) = -0.5346


Entry 12:
An optimized crystal structure of TlAg3I, computed with PBE.

abc: 5.4179 5.4179 5.4179
angles: 90.00 90.00 90.00
Closest atoms and distances in Å follow each position.
Space group Pm-3m (No. 221)
One atom of each set of equivalent atoms:
Tl 0.0000 0.0000 0.0000 x1  6 Ag 2.71
Ag 0.0000 0.0000 0.5000 x3  2 Tl 2.71
I 0.5000 0.5000 0.5000 x1  12 Ag 3.83

- E above lowest polymorph (eV/atom) = 0.000
- N(E_F) (states/eV/f.u.) = 3.711
- M_tot (μB per formula unit) = 0.00
- energy relative to the elements, uncorrected (eV per atom) = 0.5919


Repeat the twelfth record exactly.
An optimized crystal structure of TlAg3I, computed with PBE.

abc: 5.4179 5.4179 5.4179
angles: 90.00 90.00 90.00
Closest atoms and distances in Å follow each position.
Space group Pm-3m (No. 221)
One atom of each set of equivalent atoms:
Tl 0.0000 0.0000 0.0000 x1  6 Ag 2.71
Ag 0.0000 0.0000 0.5000 x3  2 Tl 2.71
I 0.5000 0.5000 0.5000 x1  12 Ag 3.83

- E above lowest polymorph (eV/atom) = 0.000
- N(E_F) (states/eV/f.u.) = 3.711
- M_tot (μB per formula unit) = 0.00
- energy relative to the elements, uncorrected (eV per atom) = 0.5919


- energy relative to the elements, uncorrected of number 9 (Tl2AgI3)?
  -0.5214 eV per atom